DFT (GGA-PBE) results for Tb2HoTl3AgIr2 after structural relaxation.

E_tot in eV/atom: -5.042

Lattice parameters (Å, degrees): 3.805 7.836 7.836 119.88 90.00 90.00
Atoms (fractional coordinates):
Tb (0.000, 0.207, 0.793)
Tb (0.000, 0.793, 0.207)
Ho (0.000, 0.620, 0.620)
Tl (0.500, 0.207, 0.477)
Tl (0.500, 0.477, 0.207)
Tl (0.500, 0.935, 0.935)
Ag (0.000, 0.207, 0.207)
Ir (0.500, 0.540, 0.872)
Ir (0.500, 0.872, 0.540)